The following is a PBE with a Hubbard U calculation of a relaxed structure of KLaWO5, from Alexandria.

Uncorrected energy = -57.600 eV per formula unit

POSCAR file:
```
KLaWO5
1.0
6.6299 0.0678 0.0245
-1.8706 6.3609 0.0245
-1.9452 -2.6275 7.6869
O La K W
10 2 2 2
direct
0.0737 0.9263 0.2500
0.2541 0.4039 0.5985
0.6802 0.1262 0.3699
0.9263 0.0737 0.7500
0.5961 0.7459 0.9015
0.1262 0.6802 0.8699
0.4039 0.2541 0.0985
0.7459 0.5961 0.4015
0.8738 0.3198 0.1301
0.3198 0.8738 0.6301
0.0000 0.0000 0.0000
0.0000 0.0000 0.5000
0.3182 0.6818 0.2500
0.6818 0.3182 0.7500
0.3233 0.6767 0.7500
0.6767 0.3233 0.2500
```